Entry 1:
Below is a geometry-optimized KGaAgAu structure, with properties calculated at the GGA-PBE level.

Lattice parameters (Å, degrees): 4.161 4.161 12.843 90.00 90.00 90.00
Element x y z (fractional)
Ag: 0.250 0.750 0.500
Au: 0.750 0.750 0.875
K: 0.250 0.250 0.728
Ga: 0.250 0.750 0.000
K: 0.750 0.750 0.272
Ga: 0.750 0.250 0.000
Ag: 0.750 0.250 0.500
Au: 0.250 0.250 0.125

=====

Entry 2:
Below is a geometry-optimized Al3As structure, with properties calculated at the GGA-PBE level.

Lattice parameters (Å, degrees): 9.465 9.465 9.465 17.79 17.79 17.79
Element x y z (fractional)
Al: 0.752 0.752 0.752
Al: 0.248 0.248 0.248
As: 0.000 0.000 0.000
Al: 0.500 0.500 0.500

=====

Entry 3:
Below is a geometry-optimized NaTcAs2Ru structure, with properties calculated at the GGA-PBE level.

Lattice parameters (Å, degrees): 4.235 4.235 5.943 110.87 110.87 90.00
Element x y z (fractional)
Ru: 0.750 0.250 0.500
Na: 0.000 0.000 0.000
As: 0.632 0.632 0.263
Tc: 0.250 0.750 0.500
As: 0.368 0.368 0.737

=====

Entry 4:
Below is a geometry-optimized Ho4ZnRh2 structure, with properties calculated at the GGA-PBE level.

Lattice parameters (Å, degrees): 4.841 4.841 6.896 90.00 90.00 90.00
Element x y z (fractional)
Ho: 0.000 0.500 0.253
Ho: 0.500 0.000 0.253
Rh: 0.000 0.000 0.000
Ho: 0.000 0.500 0.747
Zn: 0.500 0.500 0.000
Ho: 0.500 0.000 0.747
Rh: 0.500 0.500 0.500

=====

Entry 5:
Below is a geometry-optimized NbAs2Pb structure, with properties calculated at the GGA-PBE level.

Lattice parameters (Å, degrees): 3.576 3.576 8.350 77.64 77.64 60.00
Element x y z (fractional)
Nb: 0.666 0.666 0.003
As: 0.067 0.067 0.798
As: 0.264 0.264 0.207
Pb: 0.503 0.503 0.492

=====

Entry 6:
Below is a geometry-optimized Ce2Ga4IrPt3 structure, with properties calculated at the GGA-PBE level.

Lattice parameters (Å, degrees): 4.242 4.242 10.556 90.00 90.00 90.00
Site moments in Bohr magnetons follow the coordinates.
Element x y z (fractional)
Ce: 0.500 0.000 0.251  0.51
Ce: 0.000 0.500 0.749  0.51
Ga: 0.000 0.500 0.371  0.00
Ga: 0.000 0.000 0.000  0.00
Pt: 0.000 0.500 0.136  -0.01
Pt: 0.000 0.000 0.500  -0.01
Pt: 0.500 0.000 0.864  -0.01
Ir: 0.500 0.500 0.500  -0.01
Ga: 0.500 0.000 0.629  0.00
Ga: 0.500 0.500 0.000  0.00

=====

no.,ρ (g/cm³),E_form (kcal/mol of atoms),D(E_F) (states/eV per atom)
1,6.18,-1.8,0.276
2,3.75,1.9,0.129
3,6.71,-6.3,0.423
4,9.57,-13.7,0.775
5,8.34,-4.6,0.619
6,11.69,-20.5,1.163